Density functional theory data (GGA+U) for an optimized crystal structure of LiHWO2.

Results
spin magnetization: 2.0 μB/f.u.
energy above the lowest structure with this stoichiometry: 0 meV/atom

a b c (Å): 4.0556 4.0556 3.6370
angles (deg): 90.00 90.00 90.00
Last column: nearest neighbours and their distance in Å.
Space group P4/mmm (No. 123)
One atom of each set of equivalent atoms:
Li 0.0000 0.0000 0.0000  8 O 2.72, 4 H 2.87
H 0.5000 0.5000 0.0000  2 W 1.82
W 0.5000 0.5000 0.5000  2 H 1.82, 4 O 2.03
O 0.0000 0.5000 0.5000  2 W 2.03